Entry 1:
A plane-wave DFT calculation with PBE-GGA was carried out for MgSi2Cl after structural relaxation.

Computed properties:
raw formation energy: -0.212 eV/atom
energy relative to the lowest polymorph listed for this composition: 104 kJ/mol of formula units
N(E_F): 0.9 states/eV/cell

a = 7.050 Å, b = 7.050 Å, c = 3.172 Å
α = 90.02°, β = 90.02°, γ = 32.71°
Sites, in units of the cell vectors:
Si (0.953, 0.953, 0.750)
Si (0.547, 0.547, 0.750)
Mg (0.750, 0.750, 0.750)
Cl (0.250, 0.250, 0.250)

---

Entry 2:
A plane-wave DFT calculation with PBE-GGA was carried out for NbP2IO after structural relaxation.

Computed properties:
raw formation energy: 1.000 eV/atom
energy relative to the lowest polymorph listed for this composition: 610 kJ/mol of formula units
N(E_F): 2.2 states/eV/cell

a = 5.062 Å, b = 5.062 Å, c = 3.844 Å
α = 90.00°, β = 90.00°, γ = 90.00°
Last column: magnetic moment on the atom in μB.
Sites, in units of the cell vectors:
P (0.000, 0.500, 0.000)  -0.08
P (0.500, 0.000, 0.000)  -0.08
I (0.000, 0.000, 0.000)  0.04
Nb (0.500, 0.500, 0.500)  1.78
O (0.000, 0.000, 0.500)  0.02

---

Entry 3:
A plane-wave DFT calculation with PBE-GGA was carried out for YAs2Cl after structural relaxation.

Computed properties:
raw formation energy: -0.600 eV/atom
energy relative to the lowest polymorph listed for this composition: 161 kJ/mol of formula units
N(E_F): 2.3 states/eV/cell

a = 4.732 Å, b = 6.210 Å, c = 4.658 Å
α = 56.31°, β = 82.63°, γ = 112.52°
Sites, in units of the cell vectors:
Y (0.500, 0.000, 0.500)
Cl (0.500, 0.500, 0.000)
As (0.000, 0.000, 0.000)
As (0.000, 0.500, 0.500)

---

Among the records above, which one has the lowest N(E_F)?
MgSi2Cl

---

What is the energy relative to the lowest polymorph listed for this composition in the second record?
610 kJ/mol of formula units

---

N(E_F) of number 1 (MgSi2Cl)?
0.9 states/eV/cell